(a)
PBE Hf2Ta2N, optimized geometry; DOS at the Fermi energy = 12.50 states/eV/cell
1.0
-4.959 2.056 -2.169
0.838 -3.076 -4.833
-2.695 -4.185 2.196
N Hf Ta
2 4 4
Cartesian
0.000 0.000 0.000 N
-2.061 -0.510 -3.501 N
-0.938 -1.874 -4.723 Hf
-3.551 -0.358 -5.040 Hf
-3.183 0.854 -2.279 Hf
-0.570 -0.662 -1.962 Hf
-1.599 -3.796 -2.458 Ta
-3.933 -3.305 -4.386 Ta
-5.217 -1.408 -2.348 Ta
-2.884 -1.899 -0.420 Ta



(b)
PBE Hf2Ta2N, optimized geometry; DOS at the Fermi energy = 5.77 states/eV/cell
1.0
-1.824 -2.322 -1.861
2.820 -0.654 -1.949
2.640 -7.186 3.106
N Hf Ta
1 2 2
Cartesian
0.000 0.000 0.000 N
0.879 -2.502 -1.013 Hf
2.757 -7.660 0.309 Hf
0.657 -5.498 -0.330 Ta
2.979 -4.664 -0.374 Ta



Here is how they stack up, most stable first: (a), (b).



(a)
PBE HfTa2N2, optimized geometry; DOS at the Fermi energy = 3.13 states/eV/cell
1.0
-3.949 -0.161 -0.543
0.561 -0.619 -3.901
-1.613 -4.706 -1.526
N Hf Ta
2 1 2
Cartesian
-3.628 -2.628 -2.145 N
-1.373 -2.857 -3.825 N
0.000 0.000 0.000 Hf
-1.669 -1.755 -2.002 Ta
-3.333 -3.731 -3.968 Ta



(b)
PBE HfTa2N2, optimized geometry; DOS at the Fermi energy = 6.17 states/eV/cell
1.0
6.930 0.000 0.000
0.000 6.930 0.000
0.000 0.000 2.825
N Hf Ta
4 2 4
Cartesian
0.902 4.367 1.413 N
4.367 6.028 1.413 N
6.028 2.563 1.413 N
2.563 0.902 1.413 N
0.000 0.000 0.000 Hf
3.465 3.465 0.000 Hf
2.494 5.959 0.000 Ta
5.959 4.436 0.000 Ta
4.436 0.971 0.000 Ta
0.971 2.494 0.000 Ta



Here is how they stack up, most stable first: (a), (b).



(a)
PBE HfTaTe2N, optimized geometry; DOS at the Fermi energy = 7.30 states/eV/cell
1.0
-3.431 2.215 3.868
-0.448 -5.028 2.482
3.078 0.837 2.251
N Te Hf Ta
1 2 1 1
Cartesian
1.539 0.419 1.125 N
-0.224 -2.514 1.241 Te
-1.716 1.107 1.934 Te
0.000 0.000 0.000 Hf
-0.401 -0.988 4.300 Ta



(b)
PBE HfTaTe2N, optimized geometry; DOS at the Fermi energy = 2.64 states/eV/cell
1.0
5.529 0.000 0.000
0.000 5.529 0.000
0.000 0.000 3.851
N Te Hf Ta
1 2 1 1
Cartesian
0.000 0.000 1.925 N
0.000 2.765 0.000 Te
2.765 0.000 0.000 Te
2.765 2.765 1.925 Hf
0.000 0.000 0.000 Ta



Here is how they stack up, most stable first: (b), (a).



(a)
PBE HfTa2TiN, optimized geometry; DOS at the Fermi energy = 3.77 states/eV/cell
1.0
4.390 0.000 0.000
0.000 4.390 0.000
0.000 0.000 4.127
N Ti Hf Ta
1 1 1 2
Cartesian
0.000 0.000 0.000 N
0.000 0.000 2.063 Ti
2.195 2.195 2.063 Hf
0.000 2.195 0.000 Ta
2.195 0.000 0.000 Ta



(b)
PBE HfTa2TiN, optimized geometry; DOS at the Fermi energy = 3.44 states/eV/cell
1.0
-3.237 -1.651 -2.215
-0.583 -2.926 3.034
-2.851 2.757 2.111
N Ti Hf Ta
1 1 1 2
Cartesian
0.000 0.000 0.000 N
-3.335 -0.910 1.465 Ti
-1.425 1.379 1.056 Hf
-0.292 -1.463 1.517 Ta
-1.618 -0.825 -1.107 Ta



Here is how they stack up, most stable first: (a), (b).



(a)
PBE Hf2ZrTaN, optimized geometry; DOS at the Fermi energy = 3.30 states/eV/cell
1.0
4.425 0.000 0.000
0.000 4.425 0.000
0.000 0.000 4.561
N Hf Zr Ta
1 2 1 1
Cartesian
0.000 0.000 0.000 N
0.000 2.213 0.000 Hf
2.213 0.000 0.000 Hf
0.000 0.000 2.280 Zr
2.213 2.213 2.280 Ta



(b)
PBE Hf2ZrTaN, optimized geometry; DOS at the Fermi energy = 4.82 states/eV/cell
1.0
4.535 0.000 0.000
0.000 4.535 0.000
0.000 0.000 4.309
N Hf Zr Ta
1 2 1 1
Cartesian
0.000 0.000 0.000 N
0.000 2.268 0.000 Hf
2.268 0.000 0.000 Hf
2.268 2.268 2.154 Zr
0.000 0.000 2.154 Ta



Here is how they stack up, most stable first: (a), (b).



(a)
PBE HfTcN2, optimized geometry; DOS at the Fermi energy = 1.82 states/eV/cell
1.0
3.151 0.000 0.000
1.575 2.729 0.000
1.575 0.910 5.351
Hf Tc N
1 1 2
Cartesian
4.726 2.729 5.347 Hf
3.151 1.819 2.947 Tc
1.575 0.910 3.967 N
1.575 0.910 1.116 N



(b)
PBE HfTcN2, optimized geometry; DOS at the Fermi energy = 3.67 states/eV/cell
1.0
4.588 0.000 0.000
0.000 4.588 0.000
2.294 2.294 5.074
Hf Tc N
2 2 4
Cartesian
0.000 0.000 0.000 Hf
4.588 2.294 2.537 Hf
2.294 2.294 0.000 Tc
2.294 4.588 2.537 Tc
3.343 1.147 1.269 N
1.245 3.441 1.269 N
3.441 3.539 3.806 N
5.735 5.637 3.806 N



(c)
PBE HfTcN2, optimized geometry; DOS at the Fermi energy = 1.35 states/eV/cell
1.0
0.000 2.754 2.754
2.754 0.000 2.754
2.754 2.754 0.000
Hf Tc N
1 1 2
Cartesian
2.754 2.754 2.754 Hf
0.000 0.000 0.000 Tc
1.377 1.377 1.377 N
4.132 4.132 4.132 N



(d)
PBE HfTcN2, optimized geometry; DOS at the Fermi energy = 3.81 states/eV/cell
1.0
0.499 6.303 -0.681
0.361 5.842 2.486
3.135 5.454 0.931
Hf Tc N
1 1 2
Cartesian
1.998 8.800 1.368 Hf
0.000 0.000 0.000 Tc
3.576 15.750 2.448 N
0.420 1.850 0.288 N



Here is how they stack up, most stable first: (b), (a), (d), (c).